#A
Here is an optimized crystal structure of Li4FeCo3O8 from Alexandria via LeMat-Bulk. Energies are from PBE with a Hubbard U.

```
data_Li4FeCo3O8
_cell_length_a 5.909
_cell_length_b 5.909
_cell_length_c 5.909
_cell_angle_alpha 59.45
_cell_angle_beta 59.45
_cell_angle_gamma 59.45
_symmetry_space_group_name_H-M 'P 1'
_symmetry_Int_Tables_number 1
_symmetry_space_group_name_Hall 'P 1'
loop_
_atom_site_label
_atom_site_fract_x
_atom_site_fract_y
_atom_site_fract_z
Li1 0.500 0.500 0.500
Li2 0.000 0.000 0.500
Li3 0.500 0.000 0.000
Li4 0.000 0.500 0.000
O1 0.766 0.766 0.240
O2 0.234 0.234 0.760
O3 0.742 0.742 0.742
O4 0.234 0.760 0.234
O5 0.766 0.240 0.766
O6 0.760 0.234 0.234
O7 0.240 0.766 0.766
O8 0.258 0.258 0.258
Co1 0.500 0.500 0.000
Co2 0.000 0.500 0.500
Co3 0.500 0.000 0.500
Fe1 0.000 0.000 0.000
```

=====

#B
Here is an optimized crystal structure of Li4FeCo3O8 from Alexandria via LeMat-Bulk. Energies are from PBE with a Hubbard U.

```
data_Li4FeCo3O8
_cell_length_a 5.014
_cell_length_b 5.625
_cell_length_c 6.360
_cell_angle_alpha 90.86
_cell_angle_beta 89.81
_cell_angle_gamma 89.87
_symmetry_space_group_name_H-M 'P 1'
_symmetry_Int_Tables_number 1
_symmetry_space_group_name_Hall 'P 1'
loop_
_atom_site_label
_atom_site_fract_x
_atom_site_fract_y
_atom_site_fract_z
Co1 0.999 0.080 0.130
Co2 0.489 0.419 0.631
Co3 0.997 0.580 0.374
O1 0.865 0.925 0.889
O2 0.374 0.580 0.388
O3 0.372 0.072 0.111
O4 0.871 0.423 0.611
O5 0.900 0.902 0.365
O6 0.396 0.598 0.867
O7 0.897 0.400 0.134
O8 0.399 0.103 0.635
Li1 0.496 0.416 0.125
Li2 0.990 0.581 0.878
Li3 0.991 0.087 0.624
Li4 0.497 0.915 0.372
Fe1 0.494 0.919 0.867
```

=====

How do the structures above rank in stability at the extremes? #A comes first and #B comes last.